DFT (PBE-GGA) results for a geometry-optimized GeTeAs3 structure.

* space group: Pm-3m
* energy above the most stable polymorph in this dataset: 0.396 eV per atom

a b c (Å): 5.2921 5.2921 5.2921
angles (deg): 90.00 90.00 90.00
Closest atoms and distances in Å follow each position.
Fractional positions:
Ge (0.0000, 0.0000, 0.0000)  12 As 3.74
Te (0.5000, 0.5000, 0.5000)  6 As 2.65
As (0.0000, 0.5000, 0.5000)  2 Te 2.65
As (0.5000, 0.0000, 0.5000)  2 Te 2.65
As (0.5000, 0.5000, 0.0000)  2 Te 2.65